This record from OQMD describes HfAsAuO after structural relaxation. The functional is GGA-PBE.

Cell lengths 3.7214, 3.7214, 9.2553 Å; angles 90.00, 90.00, 90.00 degrees
Element x y z (fractional)
1 As 0.0000 0.5000 0.2671
2 As 0.5000 0.0000 0.7329
3 Au 0.0000 0.0000 0.5000
4 Au 0.5000 0.5000 0.5000
5 Hf 0.5000 0.0000 0.1288
6 Hf 0.0000 0.5000 0.8712
7 O 0.0000 0.0000 0.0000
8 O 0.5000 0.5000 0.0000

M_tot ... 0.0 μB/f.u.
Space group ... P4/nmm (129)
Polymorph energy (0 for the lowest one) ... 0.0000 eV per atom

This record from OQMD describes HfAsOsAu after structural relaxation. The functional is GGA-PBE.

Cell lengths 4.6418, 4.6418, 4.6418 Å; angles 60.00, 60.00, 60.00 degrees
Element x y z (fractional)
1 As 0.5000 0.5000 0.5000
2 Au 0.7500 0.7500 0.7500
3 Hf 0.2500 0.2500 0.2500
4 Os 0.0000 0.0000 0.0000

M_tot ... 0.0 μB/f.u.
Space group ... F-43m (216)
Polymorph energy (0 for the lowest one) ... 0.2402 eV per atom